This record from the Alexandria database describes crystalline Ba4Pu3CrO12 at its relaxed geometry. The functional is PBE+U.

Values from the calculation:
Space group: Im-3m, No. 229
Total energy, eV per cell: -173.61

Cell: 7.464 7.464 7.464 Å, 109.47 109.47 109.47°
Sites, in units of the cell vectors:
Ba: 0.000 0.000 0.500
Ba: 0.000 0.500 0.000
Ba: 0.500 0.000 0.000
Ba: 0.500 0.500 0.500
Pu: 0.000 0.500 0.500
Pu: 0.500 0.000 0.500
Pu: 0.500 0.500 0.000
Cr: 0.000 0.000 0.000
O: 0.000 0.245 0.245
O: 0.000 0.755 0.755
O: 0.245 0.000 0.245
O: 0.245 0.245 0.000
O: 0.250 0.500 0.750
O: 0.250 0.750 0.500
O: 0.500 0.250 0.750
O: 0.500 0.750 0.250
O: 0.750 0.250 0.500
O: 0.750 0.500 0.250
O: 0.755 0.000 0.755
O: 0.755 0.755 0.000